Entry 1:
## Y2SbS2 (meta-GGA SCAN)

Data for a PBEsol-optimized structure of Y2SbS2.

The structure belongs to space group I4/mmm (No. 139); the cell edges are 5.165, 5.165 and 8.754 Å and the angles 90.00°, 90.00° and 90.00°. Symmetry generates all atoms from Y at (0.000, 0.500, 0.250), Sb at (0.000, 0.000, 0.000) and S at (0.000, 0.000, 0.335).

Its total energy is -24.01 eV/atom. As for the uncorrected formation energy: -1.57 eV per atom.


Entry 2:
## Zr5Sb3S (meta-GGA SCAN)

Data for a PBEsol-optimized structure of Zr5Sb3S.

The structure belongs to space group P6_3/mcm (No. 193); the cell edges are 8.3669, 8.3669 and 6.0192 Å and the angles 90.00°, 90.00° and 120.00°. Symmetry generates all atoms from Zr at (0.0000, 0.2489, 0.2500), Zr at (0.3333, 0.6667, 0.0000), Sb at (0.0000, 0.3988, 0.7500) and S at (0.0000, 0.0000, 0.0000).

Its total energy is -31.61 eV/atom. As for the uncorrected formation energy: -1.07 eV per atom.


Entry 3:
## ScSnS2 (meta-GGA SCAN)

Data for a PBEsol-optimized structure of ScSnS2.

The structure belongs to space group R-3m (No. 166, hexagonal axes); the cell edges are 3.5909, 3.5909 and 24.7948 Å and the angles 90.00°, 90.00° and 120.00°. Symmetry generates all atoms from Sc at (0.0000, 0.0000, 0.0000), Sn at (0.0000, 0.0000, 0.5000) and S at (0.0000, 0.0000, 0.3916).

Its total energy is -18.72 eV/atom. As for the uncorrected formation energy: -1.36 eV per atom.


Entry 4:
## ScSnS2 (meta-GGA SCAN)

Data for a PBEsol-optimized structure of ScSnS2.

The structure belongs to space group R-3m (No. 166, hexagonal axes); the cell edges are 3.8338, 3.8338 and 23.8095 Å and the angles 90.00°, 90.00° and 120.00°. Symmetry generates all atoms from Sc at (0.0000, 0.0000, 0.0000), Sn at (0.0000, 0.0000, 0.5000) and S at (0.0000, 0.0000, 0.1008).

Its total energy is -17.85 eV/atom. As for the uncorrected formation energy: -0.50 eV per atom.


Entry 5:
## SrSc2S4 (meta-GGA SCAN)

Data for a PBEsol-optimized structure of SrSc2S4.

The structure belongs to space group Pnma (No. 62); the cell edges are 11.531, 3.751 and 13.567 Å and the angles 90.00°, 90.00° and 90.00°. Symmetry generates all atoms from Sr at (0.239, 0.250, 0.167), Sc at (0.061, 0.250, 0.391), Sc at (0.081, 0.250, 0.902), S at (0.027, 0.750, 0.784), S at (0.087, 0.250, 0.576), S at (0.124, 0.750, 0.027) and S at (0.204, 0.750, 0.340).

Its total energy is -15.06 eV/atom. As for the uncorrected formation energy: -2.30 eV per atom.


Entry 6:
## SrSc2S (meta-GGA SCAN)

Data for a PBEsol-optimized structure of SrSc2S.

The structure belongs to space group R-3m (No. 166, hexagonal axes); the cell edges are 3.6557, 3.6557 and 31.8547 Å and the angles 90.00°, 90.00° and 120.00°. Symmetry generates all atoms from Sr at (0.0000, 0.0000, 0.0000), Sc at (0.0000, 0.0000, 0.4277) and S at (0.0000, 0.0000, 0.5000).

Its total energy is -15.24 eV/atom. As for the uncorrected formation energy: -0.14 eV per atom.